Record 1
Crystalline Ce2AlVO6 at its relaxed geometry, computed with PBE+U.

The space group is P2_1/c (No. 14) and the conventional cell measures 5.420, 5.619 and 9.452 Å, with angles of 90.00, 124.99 and 90.00 degrees. Symmetry generates all atoms from Ce at (0.237, 0.055, 0.250), Al at (0.000, 0.000, 0.500), V at (0.500, 0.000, 0.000), O at (0.133, 0.212, 0.947), O at (0.240, 0.688, 0.951) and O at (0.335, 0.030, 0.737).

Its calculated volume is 235.86 Å³ per cell. The calculation puts the uncorrected energy at -8.282 eV per atom.

***

Record 2
Crystalline CeAlV2O8 at its relaxed geometry, computed with PBE+U.

The space group is P-3m1 (No. 164) and the conventional cell measures 5.4750, 5.4750 and 6.4368 Å, with angles of 90.00, 90.00 and 120.00 degrees. Symmetry generates all atoms from Ce at (0.0000, 0.0000, 0.0000), Al at (0.0000, 0.0000, 0.5000), V at (0.3333, 0.6667, 0.2401), O at (0.1550, 0.3101, 0.3135) and O at (0.3333, 0.6667, 0.9788).

Its calculated volume is 167.10 Å³ per cell. The calculation puts the uncorrected energy at -7.793 eV per atom.